1.
Material: Ca2TaTiMo
Method: DFT, PBE
State: relaxed

Properties
**Symmetry**: No. 123
**Calculated formation energy**: 1.882 eV/atom
**Raw total energy**: -25.173 eV/cell

abc: 5.5253 4.6788 5.5253
angles: 90.00 90.00 90.00
Each line ends with the local moment (μB).
Element x y z (fractional)
Ta 0.0000 0.0000 0.0000  0.17
Ti 0.0000 0.5000 0.0000  -0.06
Mo 0.5000 0.5000 0.5000  0.43
Ca 0.5000 0.0000 0.0000  0.01
Ca 0.0000 0.0000 0.5000  0.03

***

2.
Material: KTi2Pb2
Method: DFT, PBE
State: relaxed

Properties
**Symmetry**: No. 127
**Calculated formation energy**: 0.129 eV/atom
**Raw total energy**: -47.323 eV/cell

abc: 8.8468 8.8468 3.1497
angles: 90.00 90.00 90.00
Each line ends with the local moment (μB).
Element x y z (fractional)
Ti 0.3878 0.8878 0.0000  0.43
Ti 0.1122 0.3878 0.0000  0.43
Ti 0.8878 0.6122 0.0000  0.43
Ti 0.6122 0.1122 0.0000  0.43
K 0.5000 0.5000 0.0000  0.00
K 0.0000 0.0000 0.0000  0.00
Pb 0.6748 0.8252 0.5000  -0.02
Pb 0.3252 0.1748 0.5000  -0.02
Pb 0.1748 0.6748 0.5000  -0.02
Pb 0.8252 0.3252 0.5000  -0.02

***

3.
Material: TcTe2ICl
Method: DFT, PBE
State: relaxed

Properties
**Symmetry**: No. 123
**Raw total energy**: -13.454 eV/cell
**Raw formation energy**: 1318 meV per atom

abc: 5.4959 5.4959 5.4633
angles: 90.00 90.00 90.00
Each line ends with the local moment (μB).
Element x y z (fractional)
Te 0.5000 0.0000 0.0000  0.07
Te 0.0000 0.5000 0.0000  0.07
Cl 0.0000 0.0000 0.0000  0.00
I 0.0000 0.0000 0.5000  0.09
Tc 0.5000 0.5000 0.5000  3.95

***

Calculated DOS(E_F), 2.812; 0.481; 0.897 states/eV per atom (same order as the records).